No. 1
# CdCo2Cl | Alexandria via LeMat-Bulk | PBEsol | optimized geometry
data_CdCo2Cl
_chemical_formula_sum 'Cd1 Co2 Cl1'
_cell_length_a 4.907
_cell_length_b 4.907
_cell_length_c 7.125
_cell_angle_alpha 127.48
_cell_angle_beta 127.48
_cell_angle_gamma 34.38
_space_group_name_H-M_alt 'P 1'
_space_group_IT_number 1
loop_
_space_group_symop_operation_xyz
'x,y,z'
loop_
_atom_site_label
_atom_site_type_symbol
_atom_site_fract_x
_atom_site_fract_y
_atom_site_fract_z
Cd1 Cd 0.000 0.000 0.000
Co1 Co 0.345 0.345 0.152
Co2 Co 0.655 0.655 0.848
Cl1 Cl 0.000 0.000 0.500
# N(E_F) = 4.78 states/eV per cell
# Formation energy from raw total energies = 267 meV per atom


No. 2
# Cd2CoCl | Alexandria via LeMat-Bulk | PBEsol | optimized geometry
data_Cd2CoCl
_chemical_formula_sum 'Cd2 Co1 Cl1'
_cell_length_a 9.489
_cell_length_b 9.489
_cell_length_c 9.489
_cell_angle_alpha 18.59
_cell_angle_beta 18.59
_cell_angle_gamma 18.59
_space_group_name_H-M_alt 'P 1'
_space_group_IT_number 1
loop_
_space_group_symop_operation_xyz
'x,y,z'
loop_
_atom_site_label
_atom_site_type_symbol
_atom_site_fract_x
_atom_site_fract_y
_atom_site_fract_z
Cd1 Cd 0.000 0.000 0.000
Cd2 Cd 0.239 0.239 0.239
Co1 Co 0.498 0.498 0.498
Cl1 Cl 0.782 0.782 0.782
# N(E_F) = 3.14 states/eV per cell
# Formation energy from raw total energies = 13 meV per atom


No. 3
# Cd2CoCl | Alexandria via LeMat-Bulk | PBEsol | optimized geometry
data_Cd2CoCl
_chemical_formula_sum 'Cd2 Co1 Cl1'
_cell_length_a 5.581
_cell_length_b 5.581
_cell_length_c 5.581
_cell_angle_alpha 139.13
_cell_angle_beta 139.13
_cell_angle_gamma 59.17
_space_group_name_H-M_alt 'P 1'
_space_group_IT_number 1
loop_
_space_group_symop_operation_xyz
'x,y,z'
loop_
_atom_site_label
_atom_site_type_symbol
_atom_site_fract_x
_atom_site_fract_y
_atom_site_fract_z
Cd1 Cd 0.000 0.000 0.000
Cd2 Cd 0.750 0.250 0.500
Co1 Co 0.250 0.750 0.500
Cl1 Cl 0.500 0.500 0.000
# N(E_F) = 6.39 states/eV per cell
# Formation energy from raw total energies = 398 meV per atom


No. 4
# CdCo3Cl | Alexandria via LeMat-Bulk | PBEsol | optimized geometry
data_CdCo3Cl
_chemical_formula_sum 'Cd1 Co3 Cl1'
_cell_length_a 4.074
_cell_length_b 4.074
_cell_length_c 4.074
_cell_angle_alpha 90.00
_cell_angle_beta 90.00
_cell_angle_gamma 90.00
_space_group_name_H-M_alt 'P 1'
_space_group_IT_number 1
loop_
_space_group_symop_operation_xyz
'x,y,z'
loop_
_atom_site_label
_atom_site_type_symbol
_atom_site_fract_x
_atom_site_fract_y
_atom_site_fract_z
Cd1 Cd 0.000 0.000 0.000
Co1 Co 0.000 0.500 0.500
Co2 Co 0.500 0.000 0.500
Co3 Co 0.500 0.500 0.000
Cl1 Cl 0.500 0.500 0.500
# N(E_F) = 6.25 states/eV per cell
# Formation energy from raw total energies = 602 meV per atom


No. 5
# CdCo2Cl | Alexandria via LeMat-Bulk | PBEsol | optimized geometry
data_CdCo2Cl
_chemical_formula_sum 'Cd1 Co2 Cl1'
_cell_length_a 4.329
_cell_length_b 4.329
_cell_length_c 4.329
_cell_angle_alpha 60.00
_cell_angle_beta 60.00
_cell_angle_gamma 60.00
_space_group_name_H-M_alt 'P 1'
_space_group_IT_number 1
loop_
_space_group_symop_operation_xyz
'x,y,z'
loop_
_atom_site_label
_atom_site_type_symbol
_atom_site_fract_x
_atom_site_fract_y
_atom_site_fract_z
Cd1 Cd 0.000 0.000 0.000
Co1 Co 0.250 0.250 0.250
Co2 Co 0.750 0.750 0.750
Cl1 Cl 0.500 0.500 0.500
# N(E_F) = 6.09 states/eV per cell
# Formation energy from raw total energies = 754 meV per atom


No. 6
# Cd2CoCl | Alexandria via LeMat-Bulk | PBEsol | optimized geometry
data_Cd2CoCl
_chemical_formula_sum 'Cd2 Co1 Cl1'
_cell_length_a 4.950
_cell_length_b 4.950
_cell_length_c 3.070
_cell_angle_alpha 90.00
_cell_angle_beta 90.00
_cell_angle_gamma 109.53
_space_group_name_H-M_alt 'P 1'
_space_group_IT_number 1
loop_
_space_group_symop_operation_xyz
'x,y,z'
loop_
_atom_site_label
_atom_site_type_symbol
_atom_site_fract_x
_atom_site_fract_y
_atom_site_fract_z
Cd1 Cd 0.000 0.500 0.000
Cd2 Cd 0.500 0.000 0.000
Co1 Co 0.000 0.000 0.500
Cl1 Cl 0.500 0.500 0.500
# N(E_F) = 2.43 states/eV per cell
# Formation energy from raw total energies = 204 meV per atom